No. 1
Computed, not measured: Ca2Br after structural relaxation at the PBE level of DFT.

Lattice parameters (Å, degrees): 3.9713 3.9713 7.4224 90.00 90.00 120.00
Space group P-3m1 (No. 164)
Unique sites:
Ca (0.3333, 0.6667, 0.2010)
Br (0.0000, 0.0000, 0.5000)

formation energy (no corrections) = -0.892 eV/atom



No. 2
Computed, not measured: HfGeCBr2 after structural relaxation at the PBE level of DFT.

Lattice parameters (Å, degrees): 4.699 4.699 4.612 90.00 90.00 90.00
Space group P4/mmm (No. 123)
Unique sites:
Hf (0.000, 0.000, 0.000)
Ge (0.500, 0.500, 0.000)
C (0.000, 0.000, 0.500)
Br (0.000, 0.500, 0.500)

formation energy (no corrections) = 0.859 eV/atom



No. 3
Computed, not measured: Li2Ca2IrO6 after structural relaxation at the PBE level of DFT.

Lattice parameters (Å, degrees): 5.757 9.975 5.217 90.00 103.08 90.00
Space group C2/m (No. 12)
Unique sites:
Li (0.000, 0.123, 0.000)
Ca (0.000, 0.337, 0.500)
Ir (0.000, 0.000, 0.500)
O (0.181, 0.145, 0.715)
O (0.226, 0.000, 0.270)

formation energy (no corrections) = -1.864 eV/atom



No. 4
Computed, not measured: CuSi2Hg after structural relaxation at the PBE level of DFT.

Lattice parameters (Å, degrees): 5.316 9.610 3.757 90.00 134.67 90.00
Space group C2/m (No. 12)
Unique sites:
Cu (0.000, 0.000, 0.000)
Si (0.250, 0.250, 0.500)
Hg (0.000, 0.500, 0.000)

formation energy (no corrections) = 0.408 eV/atom



No. 5
Computed, not measured: Dy4YTc2 after structural relaxation at the PBE level of DFT.

Lattice parameters (Å, degrees): 7.819 6.315 7.892 90.00 111.79 90.00
Space group P2_1/m (No. 11)
Unique sites:
Dy (0.113, 0.250, 0.473)
Dy (0.178, 0.750, 0.252)
Dy (0.260, 0.501, 0.916)
Y (0.473, 0.250, 0.342)
Tc (0.077, 0.250, 0.117)
Tc (0.466, 0.250, 0.746)

calculated formation energy = -0.021 eV per atom



No. 6
Computed, not measured: AlWS2 after structural relaxation at the PBE level of DFT.

Lattice parameters (Å, degrees): 3.1448 3.1448 24.8347 90.00 90.00 120.00
Space group R-3m (No. 166, hexagonal axes)
Unique sites:
Al (0.0000, 0.0000, 0.0000)
W (0.0000, 0.0000, 0.5000)
S (0.0000, 0.0000, 0.1014)

formation energy (no corrections) = -0.291 eV/atom



No. 7
Computed, not measured: Mg3Cd2Ag7 after structural relaxation at the PBE level of DFT.

Lattice parameters (Å, degrees): 4.713 3.095 16.309 90.00 95.35 90.00
Space group P2/m (No. 10)
Unique sites:
Mg (0.000, 0.000, 0.000)
Mg (0.280, 0.500, 0.613)
Cd (0.198, 0.000, 0.285)
Ag (0.162, 0.500, 0.137)
Ag (0.236, 0.000, 0.454)
Ag (0.330, 0.000, 0.831)
Ag (0.500, 0.500, 0.000)

calculated formation energy = -0.059 eV per atom



No. 8
Computed, not measured: CaYB12 after structural relaxation at the PBE level of DFT.

Lattice parameters (Å, degrees): 8.242 8.242 8.242 90.00 90.00 90.00
Space group Fm-3m (No. 225)
Unique sites:
Ca (0.000, 0.000, 0.000)
Y (0.000, 0.000, 0.500)
B (0.100, 0.250, 0.250)

calculated formation energy = -0.411 eV per atom